[1]
VASP calculation (PBE) on Li3Np3RuN8 after structural relaxation.

D(E_F) = 12.86 states/eV per cell
Formation energy from raw total energies = -591.8 meV per atom
Calculated density = 8.26 Mg/m³
DFT total energy = -129.32 eV for the cell shown

```
Li3Np3RuN8
1.0
6.602 -0.001 0.001
-3.302 5.718 -0.023
0.001 -3.791 5.045
N Ru Li Np
8 1 3 3
Direct
0.733 0.968 0.704
0.739 0.479 0.718
0.267 0.032 0.296
0.235 0.968 0.704
0.261 0.521 0.282
0.235 0.471 0.704
0.765 0.529 0.296
0.765 0.032 0.296
0.000 0.000 0.500
0.000 0.000 0.000
0.000 0.500 0.000
0.500 0.500 0.000
0.500 0.000 0.500
0.000 0.500 0.500
0.500 0.500 0.500
```

[2]
VASP calculation (PBE) on LiNpSN after structural relaxation.

D(E_F) = 13.54 states/eV per cell
Formation energy from raw total energies = -1352.9 meV per atom
Calculated density = 7.59 Mg/m³
DFT total energy = -65.44 eV for the cell shown

```
LiNpSN
1.0
3.841 0.000 0.000
1.920 3.326 0.000
1.920 1.109 9.928
Li S Np N
2 2 2 2
Direct
0.695 0.695 0.915
0.305 0.305 0.085
0.389 0.389 0.832
0.611 0.611 0.168
0.120 0.120 0.640
0.880 0.880 0.360
0.805 0.805 0.584
0.195 0.195 0.416
```